Compound: Rb4Mn3InF12
Source: Alexandria via LeMat-Bulk
Functional: PBE with a Hubbard U
Structure: relaxed

Crystal system: cubic
DOS at the Fermi energy in states/eV/f.u.: 2.2
Total energy in eV for the cell shown: -209.1

Lattice parameters (Å, degrees): 8.776 8.776 8.776 90.00 90.00 90.00
Space group Im-3m (No. 229)
One atom of each set of equivalent atoms:
Rb 0.250 0.250 0.250 (multiplicity 8)
Mn 0.000 0.000 0.500 (multiplicity 6)
In 0.000 0.000 0.000 (multiplicity 2)
F 0.000 0.000 0.262 (multiplicity 12)
F 0.000 0.250 0.500 (multiplicity 12)